1.
A relaxed structure of Li12Cd3Rh. Source: Alexandria via LeMat-Bulk, functional PBE-GGA.

Geometry as POSCAR:
```
Li12Cd3Rh
1.0
4.523 0.000 0.000
0.000 4.523 0.000
0.000 0.000 13.418
Li Cd Rh
12 3 1
Direct
0.000 0.000 0.000
0.000 0.000 0.234
0.000 0.000 0.500
0.000 0.000 0.766
0.000 0.500 0.103
0.000 0.500 0.367
0.000 0.500 0.633
0.000 0.500 0.897
0.500 0.000 0.103
0.500 0.000 0.367
0.500 0.000 0.633
0.500 0.000 0.897
0.500 0.500 0.225
0.500 0.500 0.500
0.500 0.500 0.775
0.500 0.500 0.000
```

Computed properties:
Space group: No. 123
Total magnetization: 0.0 Bohr magnetons per cell
E: -2.20 eV per atom
Formation enthalpy at 0 K: -0.136 eV/atom

2.
A relaxed structure of Li2CdRh. Source: Alexandria via LeMat-Bulk, functional PBE-GGA.

Geometry as POSCAR:
```
Li2CdRh
1.0
-1.643 2.224 4.264
1.643 -2.224 4.264
1.643 2.224 -4.264
Li Cd Rh
2 1 1
Direct
0.236 0.236 0.000
0.764 0.764 0.000
0.500 0.000 0.500
0.000 0.500 0.500
```

Computed properties:
Space group: No. 71
Total magnetization: 0.0 Bohr magnetons per cell
E: -3.25 eV per atom
Formation enthalpy at 0 K: -0.224 eV/atom

3.
A relaxed structure of Li8Cd6Rh. Source: Alexandria via LeMat-Bulk, functional PBE-GGA.

Geometry as POSCAR:
```
Li8Cd6Rh
1.0
3.667 2.117 5.964
-3.667 2.117 5.964
0.000 -4.234 5.964
Li Cd Rh
8 6 1
Direct
0.081 0.081 0.081
0.177 0.626 0.316
0.316 0.177 0.626
0.374 0.684 0.823
0.626 0.316 0.177
0.684 0.823 0.374
0.823 0.374 0.684
0.919 0.919 0.919
0.043 0.555 0.762
0.238 0.957 0.445
0.445 0.238 0.957
0.555 0.762 0.043
0.762 0.043 0.555
0.957 0.445 0.238
0.500 0.500 0.500
```

Computed properties:
Space group: No. 148
Total magnetization: 0.0 Bohr magnetons per cell
E: -2.05 eV per atom
Formation enthalpy at 0 K: -0.175 eV/atom
Relative energy among the computed polymorphs: 0 meV/atom

4.
A relaxed structure of Li2CdRh. Source: Alexandria via LeMat-Bulk, functional PBE-GGA.

Geometry as POSCAR:
```
Li2CdRh
1.0
1.415 0.817 9.238
-1.415 0.817 9.238
0.000 -1.634 9.238
Li Cd Rh
2 1 1
Direct
0.240 0.240 0.240
0.760 0.760 0.760
0.000 0.000 0.000
0.500 0.500 0.500
```

Computed properties:
Space group: No. 166
Total magnetization: 0.2 Bohr magnetons per cell
E: -3.16 eV per atom
Formation enthalpy at 0 K: -0.138 eV/atom

5.
A relaxed structure of Li12Cd6Rh. Source: Alexandria via LeMat-Bulk, functional PBE-GGA.

Geometry as POSCAR:
```
Li12Cd6Rh
1.0
5.068 2.926 4.032
-5.068 2.926 4.032
0.000 -5.852 4.032
Li Cd Rh
12 6 1
Direct
0.029 0.938 0.303
0.062 0.697 0.971
0.138 0.462 0.356
0.303 0.029 0.938
0.356 0.138 0.462
0.462 0.356 0.138
0.538 0.644 0.862
0.644 0.862 0.538
0.697 0.971 0.062
0.862 0.538 0.644
0.938 0.303 0.029
0.971 0.062 0.697
0.225 0.384 0.763
0.237 0.775 0.616
0.384 0.763 0.225
0.616 0.237 0.775
0.763 0.225 0.384
0.775 0.616 0.237
0.500 0.500 0.500
```

Computed properties:
Space group: No. 148
Total magnetization: 0.0 Bohr magnetons per cell
E: -2.07 eV per atom
Formation enthalpy at 0 K: -0.183 eV/atom

6.
A relaxed structure of Li10CdRh2. Source: Alexandria via LeMat-Bulk, functional PBE-GGA.

Geometry as POSCAR:
```
Li10CdRh2
1.0
0.000 6.313 6.938
2.562 0.000 6.938
2.562 6.313 0.000
Li Cd Rh
10 1 2
Direct
0.000 0.500 0.000
0.013 0.796 0.204
0.163 0.525 0.475
0.204 0.987 0.013
0.475 0.837 0.163
0.500 0.000 0.500
0.525 0.163 0.837
0.796 0.013 0.987
0.837 0.475 0.525
0.987 0.204 0.796
0.500 0.500 0.500
0.000 0.000 0.500
0.500 0.500 0.000
```

Computed properties:
Space group: No. 69
Total magnetization: 0.0 Bohr magnetons per cell
E: -2.71 eV per atom
Formation enthalpy at 0 K: -0.034 eV/atom

Please write out number 1 again, unchanged.
A relaxed structure of Li12Cd3Rh. Source: Alexandria via LeMat-Bulk, functional PBE-GGA.

Geometry as POSCAR:
```
Li12Cd3Rh
1.0
4.523 0.000 0.000
0.000 4.523 0.000
0.000 0.000 13.418
Li Cd Rh
12 3 1
Direct
0.000 0.000 0.000
0.000 0.000 0.234
0.000 0.000 0.500
0.000 0.000 0.766
0.000 0.500 0.103
0.000 0.500 0.367
0.000 0.500 0.633
0.000 0.500 0.897
0.500 0.000 0.103
0.500 0.000 0.367
0.500 0.000 0.633
0.500 0.000 0.897
0.500 0.500 0.225
0.500 0.500 0.500
0.500 0.500 0.775
0.500 0.500 0.000
```

Computed properties:
Space group: No. 123
Total magnetization: 0.0 Bohr magnetons per cell
E: -2.20 eV per atom
Formation enthalpy at 0 K: -0.136 eV/atom

> Look up the formation enthalpy at 0 K of the fourth one.

-0.138 eV/atom